A relaxed structure of CdCo2IO. Source: Alexandria via LeMat-Bulk, functional PBE+U.

Calculated values
- total magnetization (μB per cell) = 3.607
- VASP energy (Ry/atom) = -0.195
- crystal system = tetragonal

abc: 4.9633 4.9633 4.1184
angles: 90.00 90.00 90.00
Closest atoms and distances in Å follow each position.
Fractional positions:
Cd 0.0000 0.0000 0.0000  8 Co 3.22, 4 O 3.51
Co 0.0000 0.5000 0.5000  2 I 2.48
Co 0.5000 0.0000 0.5000  2 I 2.48
I 0.5000 0.5000 0.5000  2 O 2.06
O 0.5000 0.5000 0.0000  2 I 2.06